Entry 1:
Density functional theory data (PBE) for SrGaSiOs2 after structural relaxation.

Lattice parameters (Å, degrees): 4.517 5.456 4.517 90.00 90.00 90.00
Each line ends with the local moment (μB).
Element x y z (fractional)
Ga: 0.500 0.500 0.500  0.00
Si: 0.000 0.000 0.000  -0.02
Os: 0.500 0.000 0.000  0.50
Os: 0.000 0.000 0.500  0.62
Sr: 0.000 0.500 0.000  -0.02

* formation energy (no corrections): 0.857 eV/atom
* magnetic moment: 1.11 μB per cell

Entry 2:
Density functional theory data (PBE) for InPbF2 after structural relaxation.

Lattice parameters (Å, degrees): 8.507 8.507 8.507 23.97 23.97 23.97
Element x y z (fractional)
F: 0.096 0.096 0.096
F: 0.904 0.904 0.904
In: 0.500 0.500 0.500
Pb: 0.000 0.000 0.000

* formation energy (no corrections): -1.535 eV/atom
* magnetic moment: 0.00 μB per cell
* excess energy over the best structure of this formula in the dataset: 0 meV/atom

Entry 3:
Density functional theory data (PBE) for PmInRh2 after structural relaxation.

Lattice parameters (Å, degrees): 3.620 4.586 4.586 90.00 90.00 90.00
Element x y z (fractional)
In: 0.500 0.000 0.000
Pm: 0.500 0.500 0.500
Rh: 0.000 0.500 0.000
Rh: 0.000 0.000 0.500

* magnetic moment: 0.00 μB per cell
* formation enthalpy at 0 K: -650 meV/atom

Entry 4:
Density functional theory data (PBE) for Pm2Ni3Ir after structural relaxation.

Lattice parameters (Å, degrees): 4.395 5.201 6.010 115.64 111.45 90.00
Element x y z (fractional)
Ni: 0.000 0.000 0.000
Ni: 0.383 0.383 0.766
Ni: 0.617 0.617 0.234
Ir: 0.000 0.500 0.000
Pm: 0.315 0.815 0.630
Pm: 0.685 0.185 0.370

* magnetic moment: 0.00 μB per cell
* formation enthalpy at 0 K: -87 meV/atom
* excess energy over the best structure of this formula in the dataset: 379 meV/atom

Entry 5:
Density functional theory data (PBE) for SrZnBr2 after structural relaxation.

Lattice parameters (Å, degrees): 3.987 3.987 7.837 90.00 90.00 90.11
Element x y z (fractional)
Br: 0.000 0.000 0.910
Br: 0.500 0.500 0.308
Sr: 0.000 0.000 0.510
Zn: 0.500 0.500 0.772

* formation energy (no corrections): -1.080 eV/atom
* magnetic moment: 0.00 μB per cell
* excess energy over the best structure of this formula in the dataset: 241 meV/atom

Entry 6:
Density functional theory data (PBE) for InPb2Au after structural relaxation.

Lattice parameters (Å, degrees): 8.664 8.664 6.853 50.79 50.79 90.00
Element x y z (fractional)
Pb: 0.672 0.125 0.250
Pb: 0.375 0.328 0.750
Pb: 0.875 0.922 0.750
Pb: 0.078 0.625 0.250
Au: 0.750 0.250 0.500
Au: 0.000 0.000 0.000
In: 0.500 0.500 0.000
In: 0.250 0.750 0.500

* magnetic moment: 0.00 μB per cell
* formation enthalpy at 0 K: 36 meV/atom

Entry 7:
Density functional theory data (PBE) for YMg2W after structural relaxation.

Lattice parameters (Å, degrees): 3.027 4.416 6.269 90.00 90.00 90.00
Element x y z (fractional)
Mg: 0.000 0.000 0.467
Mg: 0.000 0.000 0.033
W: 0.500 0.500 0.250
Y: 0.500 0.500 0.750

* magnetic moment: 0.00 μB per cell
* formation enthalpy at 0 K: 437 meV/atom
* excess energy over the best structure of this formula in the dataset: 91 meV/atom

Entry 8:
Density functional theory data (PBE) for PaAu3I6Br2 after structural relaxation.

Lattice parameters (Å, degrees): 8.298 8.416 8.540 119.52 105.98 90.00
Each line ends with the local moment (μB).
Element x y z (fractional)
Pa: 0.500 0.000 0.000  0.16
I: 0.255 0.152 0.818  -0.01
I: 0.745 0.848 0.182  -0.01
I: 0.681 0.841 0.681  0.00
I: 0.319 0.159 0.319  0.00
I: 0.745 0.334 0.182  -0.01
I: 0.255 0.666 0.818  -0.01
Au: 0.000 0.500 0.000  0.00
Au: 0.500 0.500 0.500  0.00
Au: 0.500 0.000 0.500  0.00
Br: 0.217 0.656 0.312  0.00
Br: 0.783 0.344 0.688  0.00

* formation energy (no corrections): -0.420 eV/atom
* magnetic moment: 0.11 μB per cell

Entry 9:
Density functional theory data (PBE) for MgCrSe after structural relaxation.

Lattice parameters (Å, degrees): 5.811 5.812 3.142 74.31 74.32 31.37
Each line ends with the local moment (μB).
Element x y z (fractional)
Mg: 0.652 0.652 0.348  -0.03
Se: 0.371 0.371 0.629  -0.10
Cr: 0.977 0.977 0.023  1.75

* formation energy (no corrections): -0.070 eV/atom
* magnetic moment: 1.66 μB per cell
* excess energy over the best structure of this formula in the dataset: 56 meV/atom